(1)
{
  "formula": "Ba2FeP4HO14",
  "functional": "GGA+U",
  "state": "relaxed",
  "cell": [[4.905, 0.000, 0.000], [-2.179, 7.424, 0.000], [-1.054, -3.188, 8.119]],
  "species": ["Ba", "Ba", "Fe", "P", "P", "P", "P", "H", "O", "O", "O", "O", "O", "O", "O", "O", "O", "O", "O", "O", "O", "O"],
  "frac_coords": [[0.000, 0.000, 0.000], [0.306, 0.942, 0.477], [0.148, 0.466, 0.731], [0.534, 0.635, 0.106], [0.597, 0.280, 0.873], [0.704, 0.651, 0.594], [0.772, 0.294, 0.358], [0.181, 0.489, 0.226], [0.318, 0.620, 0.223], [0.382, 0.599, 0.603], [0.402, 0.300, 0.733], [0.409, 0.670, 0.953], [0.476, 0.137, 0.272], [0.488, 0.078, 0.879], [0.561, 0.422, 0.046], [0.733, 0.507, 0.423], [0.811, 0.853, 0.587], [0.823, 0.792, 0.200], [0.891, 0.262, 0.516], [0.899, 0.635, 0.737], [0.919, 0.338, 0.868], [0.983, 0.313, 0.245]],
  "final_energy_ev_per_atom": -7.072,
  "crystal_system": "triclinic",
  "spacegroup": "P1, No. 1",
  "n_ef_per_ev_fu": 0.00
}



(2)
{
  "formula": "Ba2V2FeHO9",
  "functional": "GGA+U",
  "state": "relaxed",
  "cell": [[7.989, 0.000, 0.000], [0.000, 6.268, 0.000], [-3.595, 0.000, 8.575]],
  "species": ["Ba", "Ba", "Ba", "Ba", "V", "V", "V", "V", "Fe", "Fe", "H", "H", "O", "O", "O", "O", "O", "O", "O", "O", "O", "O", "O", "O", "O", "O", "O", "O", "O", "O"],
  "frac_coords": [[0.179, 0.250, 0.089], [0.238, 0.750, 0.748], [0.762, 0.250, 0.252], [0.821, 0.750, 0.911], [0.064, 0.750, 0.329], [0.453, 0.750, 0.166], [0.547, 0.250, 0.834], [0.936, 0.250, 0.671], [0.500, 0.000, 0.500], [0.500, 0.500, 0.500], [0.229, 0.250, 0.478], [0.771, 0.750, 0.522], [0.001, 0.531, 0.208], [0.001, 0.969, 0.208], [0.049, 0.250, 0.548], [0.230, 0.750, 0.042], [0.310, 0.750, 0.451], [0.323, 0.250, 0.433], [0.422, 0.250, 0.947], [0.496, 0.513, 0.282], [0.496, 0.987, 0.282], [0.504, 0.013, 0.718], [0.504, 0.487, 0.718], [0.578, 0.750, 0.053], [0.677, 0.750, 0.567], [0.690, 0.250, 0.549], [0.770, 0.250, 0.958], [0.951, 0.750, 0.452], [0.999, 0.031, 0.792], [0.999, 0.469, 0.792]],
  "final_energy_ev_per_atom": -7.010,
  "crystal_system": "monoclinic",
  "spacegroup": "P2_1/m, No. 11",
  "n_ef_per_ev_fu": 0.00
}